VASP calculation (PBE-GGA) on crystalline CaCu3Si at its relaxed geometry.

raw total energy = -3.99 eV per atom
formation energy (no corrections) = -0.22 eV per formula unit
excess energy over the best structure of this formula in the dataset = 110.7 meV/atom

a = 4.496 Å, b = 4.496 Å, c = 4.496 Å
α = 90.00°, β = 90.00°, γ = 90.00°
Element x y z (fractional)
Si1 0.000 0.000 0.000
Cu1 0.500 0.000 0.000
Cu2 0.000 0.000 0.500
Cu3 0.000 0.500 0.000
Ca1 0.500 0.500 0.500